Density functional theory data (PBE with a Hubbard U) for crystalline MnHgBiF2 at its relaxed geometry.

```
data_MnHgBiF2
_chemical_formula_sum 'Mn1 Hg1 Bi1 F2'
_symmetry_space_group_name_H-M 'P 4/m m m'
_symmetry_Int_Tables_number 123
_symmetry_space_group_name_Hall '-P 4 2'
_cell_length_a 4.410
_cell_length_b 4.410
_cell_length_c 6.153
_cell_angle_alpha 90.00
_cell_angle_beta 90.00
_cell_angle_gamma 90.00
loop_
_atom_site_label
_atom_site_type_symbol
_atom_site_fract_x
_atom_site_fract_y
_atom_site_fract_z
Mn1 Mn 0.000 0.000 0.000
Hg1 Hg 0.000 0.000 0.500
Bi1 Bi 0.500 0.500 0.000
F1 F 0.000 0.500 0.500
```

Calculated values
magnetic moment: 3.931 μB/f.u.
VASP energy: -3.52 eV per atom
ρ: 7.0 g/cm3